# YTiCo2Cu, single point on PBEsol structure, DFT meta-GGA SCAN
data_YTiCo2Cu
_cell_length_a 4.418
_cell_length_b 4.418
_cell_length_c 4.745
_cell_angle_alpha 90.00
_cell_angle_beta 90.00
_cell_angle_gamma 90.00
_space_group_name_H-M_alt 'P 4/m m m'
_space_group_IT_number 123
_space_group_name_Hall '-P 4 2'
loop_
_atom_site_label
_atom_site_fract_x
_atom_site_fract_y
_atom_site_fract_z
Y1 0.000 0.000 0.000
Ti1 0.000 0.000 0.500
Co1 0.000 0.500 0.000
Cu1 0.500 0.500 0.500
# **Magnetic moment**: 0.79 μB/atom
# **Energy of formation**: 43.81 kcal/mol of atoms